Nd3TlTe2: relaxed, PBE.

a = 9.001 Å, b = 6.388 Å, c = 13.561 Å
α = 90.00°, β = 90.00°, γ = 90.00°
Positions (direct):
1 Nd 0.123 0.250 0.250
2 Nd 0.124 0.250 0.583
3 Nd 0.128 0.250 0.918
4 Nd 0.372 0.750 0.418
5 Nd 0.376 0.750 0.083
6 Nd 0.377 0.750 0.750
7 Nd 0.623 0.250 0.250
8 Nd 0.624 0.250 0.917
9 Nd 0.628 0.250 0.582
10 Nd 0.872 0.750 0.082
11 Nd 0.876 0.750 0.417
12 Nd 0.877 0.750 0.750
13 Tl 0.127 0.750 0.585
14 Tl 0.373 0.250 0.085
15 Tl 0.627 0.750 0.915
16 Tl 0.873 0.250 0.415
17 Te 0.125 0.750 0.248
18 Te 0.125 0.750 0.917
19 Te 0.375 0.250 0.417
20 Te 0.375 0.250 0.748
21 Te 0.625 0.750 0.252
22 Te 0.625 0.750 0.583
23 Te 0.875 0.250 0.083
24 Te 0.875 0.250 0.752

Calculated values
The value obtained for the raw total energy is -4.93 eV per atom. The value obtained for the density of states at the Fermi level is 2.31 states/eV/f.u. As for the raw formation energy: -1.102 eV per atom.



NdTlTe: relaxed, PBE.

a = 9.924 Å, b = 9.924 Å, c = 9.924 Å
α = 30.53°, β = 30.53°, γ = 30.53°
Positions (direct):
1 Nd 0.234 0.234 0.234
2 Nd 0.766 0.766 0.766
3 Tl 0.355 0.355 0.355
4 Tl 0.645 0.645 0.645
5 Te 0.120 0.120 0.120
6 Te 0.880 0.880 0.880

Calculated values
The value obtained for the raw total energy is -4.12 eV per atom. The value obtained for the density of states at the Fermi level is 1.75 states/eV/f.u. As for the raw formation energy: -0.695 eV per atom.



Nd3TlTe: relaxed, PBE.

a = 8.338 Å, b = 4.659 Å, c = 16.864 Å
α = 90.00°, β = 90.00°, γ = 90.00°
Positions (direct):
1 Nd 0.010 0.250 0.111
2 Nd 0.129 0.250 0.555
3 Nd 0.192 0.750 0.264
4 Nd 0.308 0.250 0.764
5 Nd 0.371 0.750 0.055
6 Nd 0.490 0.750 0.611
7 Nd 0.510 0.250 0.389
8 Nd 0.629 0.250 0.945
9 Nd 0.692 0.750 0.236
10 Nd 0.808 0.250 0.736
11 Nd 0.871 0.750 0.445
12 Nd 0.990 0.750 0.889
13 Tl 0.080 0.750 0.692
14 Tl 0.420 0.250 0.192
15 Tl 0.580 0.750 0.808
16 Tl 0.920 0.250 0.308
17 Te 0.217 0.250 0.951
18 Te 0.283 0.750 0.451
19 Te 0.717 0.250 0.549
20 Te 0.783 0.750 0.049

Calculated values
The value obtained for the raw total energy is -4.66 eV per atom. The value obtained for the density of states at the Fermi level is 5.42 states/eV/f.u. As for the raw formation energy: -0.699 eV per atom.